# PBE DyHo3Tm, relaxed
# total energy: -22.8 eV/f.u.
# energy relative to the elements: 0.003 eV per atom
data_DyHo3Tm
_symmetry_space_group_name_H-M 'P 1'
_symmetry_Int_Tables_number 1
_cell_length_a 6.2130
_cell_length_b 6.6334
_cell_length_c 9.0953
_cell_angle_alpha 72.37
_cell_angle_beta 89.99
_cell_angle_gamma 62.12
loop_
_symmetry_equiv_pos_as_xyz
'x,y,z'
loop_
_atom_site_label
_atom_site_fract_x
_atom_site_fract_y
_atom_site_fract_z
_atom_site_occupancy
Dy1 0.0328 0.1006 0.1506 1
Dy2 0.9672 0.8994 0.8494 1
Ho1 0.1669 0.4989 0.2502 1
Ho2 0.2331 0.6995 0.5489 1
Ho3 0.4345 0.2995 0.9488 1
Ho4 0.5655 0.7005 0.0512 1
Ho5 0.7669 0.3005 0.4511 1
Ho6 0.8331 0.5011 0.7498 1
Tm1 0.3665 0.0991 0.6494 1
Tm2 0.6335 0.9009 0.3506 1

=====

# PBE InCo5, relaxed
# total energy: -37.2 eV/f.u.
# energy relative to the elements: 0.181 eV per atom
data_InCo5
_symmetry_space_group_name_H-M 'P 1'
_symmetry_Int_Tables_number 1
_cell_length_a 4.7646
_cell_length_b 4.7646
_cell_length_c 4.7646
_cell_angle_alpha 60.00
_cell_angle_beta 60.00
_cell_angle_gamma 60.00
loop_
_symmetry_equiv_pos_as_xyz
'x,y,z'
loop_
_atom_site_label
_atom_site_fract_x
_atom_site_fract_y
_atom_site_fract_z
_atom_site_occupancy
In1 0.0000 0.0000 0.0000 1
Co1 0.3753 0.3753 0.3753 1
Co2 0.3753 0.3753 0.8741 1
Co3 0.3753 0.8741 0.3753 1
Co4 0.7500 0.7500 0.7500 1
Co5 0.8741 0.3753 0.3753 1

=====

Across the entries above, density of states at the Fermi level takes the values 17.85 7.23 states/eV/cell, respectively.